[1]
PmErC2O8 (PBE, optimized geometry); total magnetization = 2.04 μB per formula unit; Fermi-level density of states = 5.70 states/eV per cell; calculated total energy = -90.41 eV for the cell shown; space-group type = C2/m
1.0
4.360 -2.639 0.000
4.360 2.639 0.000
-2.227 0.000 5.541
Pm Er C O
1 1 2 8
direct
0.000 0.000 0.000
0.500 0.500 0.500
0.213 0.213 0.697
0.787 0.787 0.303
0.061 0.637 0.227
0.167 0.167 0.447
0.363 0.939 0.773
0.385 0.385 0.790
0.615 0.615 0.210
0.637 0.061 0.227
0.833 0.833 0.553
0.939 0.363 0.773



[2]
Ce3Sb4Rh3 (PBE, optimized geometry); total magnetization = 0.00 μB per formula unit; Fermi-level density of states = 34.57 states/eV per cell; calculated total energy = -131.03 eV for the cell shown; space-group type = I-43d
1.0
-4.876 4.876 4.876
4.876 -4.876 4.876
4.876 4.876 -4.876
Ce Sb Rh
6 8 6
direct
0.125 0.875 0.250
0.250 0.125 0.875
0.375 0.625 0.750
0.625 0.750 0.375
0.750 0.375 0.625
0.875 0.250 0.125
0.000 0.167 0.500
0.000 0.667 0.500
0.167 0.500 0.000
0.333 0.333 0.333
0.500 0.000 0.167
0.500 0.000 0.667
0.667 0.500 0.000
0.833 0.833 0.833
0.125 0.750 0.875
0.250 0.625 0.375
0.375 0.250 0.625
0.625 0.375 0.250
0.750 0.875 0.125
0.875 0.125 0.750



[3]
BSe2IBr (PBE, optimized geometry); total magnetization = 0.00 μB per formula unit; Fermi-level density of states = 3.74 states/eV per cell; calculated total energy = -13.08 eV for the cell shown; space-group type = P4/mmm
1.0
4.799 0.000 0.000
0.000 4.799 0.000
0.000 0.000 4.563
B Se I Br
1 2 1 1
direct
0.000 0.000 0.000
0.000 0.500 0.000
0.500 0.000 0.000
0.500 0.500 0.500
0.000 0.000 0.500



[4]
Ho2SbS (PBE, optimized geometry); total magnetization = 0.00 μB per formula unit; Fermi-level density of states = 2.62 states/eV per cell; calculated total energy = -23.17 eV for the cell shown; space-group type = R3m
1.0
2.030 1.172 7.049
-2.030 1.172 7.049
0.000 -2.344 7.049
Ho Sb S
2 1 1
direct
0.000 0.000 0.000
0.186 0.186 0.186
0.760 0.760 0.760
0.590 0.590 0.590



[5]
Rb3TbPu3S8 (PBE, optimized geometry); total magnetization = 14.00 μB per formula unit; Fermi-level density of states = 26.02 states/eV per cell; calculated total energy = -108.06 eV for the cell shown; space-group type = R-3m
1.0
4.077 2.354 7.753
-4.077 2.354 7.753
0.000 -4.708 7.753
Rb Tb Pu S
3 1 3 8
direct
0.000 0.500 0.500
0.500 0.000 0.500
0.500 0.500 0.000
0.500 0.500 0.500
0.000 0.000 0.500
0.000 0.500 0.000
0.500 0.000 0.000
0.226 0.730 0.730
0.229 0.229 0.229
0.270 0.270 0.774
0.270 0.774 0.270
0.730 0.226 0.730
0.730 0.730 0.226
0.771 0.771 0.771
0.774 0.270 0.270



[6]
B3OsRh (PBE, optimized geometry); total magnetization = 0.00 μB per formula unit; Fermi-level density of states = 4.01 states/eV per cell; calculated total energy = -30.17 eV for the cell shown; space-group type = Pm-3m; formation energy = 1.689 eV/atom
1.0
3.933 0.000 0.000
0.000 3.933 0.000
0.000 0.000 3.933
B Os Rh
3 1 1
direct
0.000 0.000 0.500
0.000 0.500 0.000
0.500 0.000 0.000
0.500 0.500 0.500
0.000 0.000 0.000



[7]
Hf2TiSiAs (PBE, optimized geometry); total magnetization = 0.71 μB per formula unit; Fermi-level density of states = 5.18 states/eV per cell; calculated total energy = -36.22 eV for the cell shown; space-group type = P4/mmm
1.0
4.927 0.000 0.000
0.000 4.927 0.000
0.000 0.000 4.576
Hf Ti Si As
2 1 1 1
direct
0.000 0.500 0.000
0.500 0.000 0.000
0.000 0.000 0.500
0.500 0.500 0.500
0.000 0.000 0.000



[8]
LaY (PBE, optimized geometry); total magnetization = 0.00 μB per formula unit; Fermi-level density of states = 10.36 states/eV per cell; calculated total energy = -33.89 eV for the cell shown; space-group type = R3m; formation energy = 0.048 eV/atom
1.0
1.855 1.071 17.568
-1.855 1.071 17.568
0.000 -2.142 17.568
La Y
3 3
direct
0.000 0.000 0.000
0.221 0.221 0.221
0.722 0.722 0.722
0.113 0.113 0.113
0.499 0.499 0.499
0.611 0.611 0.611



[9]
Na2SrOsO6 (PBE, optimized geometry); total magnetization = 0.10 μB per formula unit; calculated total energy = -122.86 eV for the cell shown; space-group type = P2_1/c
1.0
5.703 0.000 0.000
0.000 5.984 0.000
-5.682 0.000 8.259
Na Sr Os O
4 2 2 12
direct
0.230 0.044 0.237
0.230 0.456 0.737
0.770 0.544 0.263
0.770 0.956 0.763
0.000 0.000 0.500
0.000 0.500 0.000
0.500 0.000 0.000
0.500 0.500 0.500
0.184 0.159 0.959
0.184 0.341 0.459
0.279 0.738 0.925
0.279 0.762 0.425
0.395 0.064 0.789
0.395 0.436 0.289
0.605 0.564 0.711
0.605 0.936 0.211
0.721 0.238 0.575
0.721 0.262 0.075
0.816 0.659 0.541
0.816 0.841 0.041



[10]
NiOs2Br (PBE, optimized geometry); total magnetization = 0.00 μB per formula unit; Fermi-level density of states = 4.57 states/eV per cell; calculated total energy = -26.85 eV for the cell shown; space-group type = Cm
1.0
4.143 -1.405 0.000
4.143 1.405 0.000
-0.274 0.000 6.760
Ni Os Br
1 2 1
direct
0.000 0.000 0.000
0.464 0.464 0.317
0.725 0.725 0.170
0.985 0.985 0.644



[11]
CsS3Br (PBE, optimized geometry); total magnetization = 0.00 μB per formula unit; Fermi-level density of states = 4.01 states/eV per cell; calculated total energy = -13.02 eV for the cell shown; space-group type = Pm-3m
1.0
5.148 0.000 0.000
0.000 5.148 0.000
0.000 0.000 5.148
Cs S Br
1 3 1
direct
0.000 0.000 0.000
0.000 0.500 0.500
0.500 0.000 0.500
0.500 0.500 0.000
0.500 0.500 0.500



[12]
MgCo2Si (PBE, optimized geometry); total magnetization = 1.35 μB per formula unit; Fermi-level density of states = 2.37 states/eV per cell; calculated total energy = -21.56 eV for the cell shown; space-group type = C2/m
1.0
3.939 -1.394 0.000
3.939 1.394 0.000
-1.108 0.000 4.696
Mg Co Si
1 2 1
direct
0.000 0.000 0.000
0.231 0.231 0.701
0.769 0.769 0.299
0.500 0.500 0.500